Y2HgGe: optimized geometry, PBE-GGA.

Cell and atoms, written as CIF:
```
data_Y2HgGe
_space_group_name_H-M_alt 'P 1'
_space_group_IT_number 1
_cell_length_a 5.2315
_cell_length_b 5.2315
_cell_length_c 5.2315
_cell_angle_alpha 60.00
_cell_angle_beta 60.00
_cell_angle_gamma 60.00
loop_
_space_group_symop_operation_xyz
'x,y,z'
loop_
_atom_site_label
_atom_site_fract_x
_atom_site_fract_y
_atom_site_fract_z
Y1 0.0000 0.0000 0.0000
Y2 0.2500 0.2500 0.2500
Hg1 0.7500 0.7500 0.7500
Ge1 0.5000 0.5000 0.5000
```

As for the volume: 25.31 Å³/atom. The calculation puts the total energy at -4.403 eV per atom.

ZnHgGe2: optimized geometry, PBE-GGA.

Cell and atoms, written as CIF:
```
data_ZnHgGe2
_space_group_name_H-M_alt 'P 1'
_space_group_IT_number 1
_cell_length_a 4.8537
_cell_length_b 4.8537
_cell_length_c 4.8537
_cell_angle_alpha 60.00
_cell_angle_beta 60.00
_cell_angle_gamma 60.00
loop_
_space_group_symop_operation_xyz
'x,y,z'
loop_
_atom_site_label
_atom_site_fract_x
_atom_site_fract_y
_atom_site_fract_z
Zn1 0.0000 0.0000 0.0000
Hg1 0.7500 0.7500 0.7500
Ge1 0.2500 0.2500 0.2500
Ge2 0.5000 0.5000 0.5000
```

As for the volume: 20.21 Å³/atom. The calculation puts the total energy at -2.410 eV per atom.

ZnHg2Ge: optimized geometry, PBE-GGA.

Cell and atoms, written as CIF:
```
data_ZnHg2Ge
_space_group_name_H-M_alt 'P 1'
_space_group_IT_number 1
_cell_length_a 4.9553
_cell_length_b 4.9553
_cell_length_c 4.9553
_cell_angle_alpha 60.00
_cell_angle_beta 60.00
_cell_angle_gamma 60.00
loop_
_space_group_symop_operation_xyz
'x,y,z'
loop_
_atom_site_label
_atom_site_fract_x
_atom_site_fract_y
_atom_site_fract_z
Zn1 0.0000 0.0000 0.0000
Hg1 0.2500 0.2500 0.2500
Hg2 0.5000 0.5000 0.5000
Ge1 0.7500 0.7500 0.7500
```

As for the volume: 21.51 Å³/atom. The calculation puts the total energy at -1.328 eV per atom.

ZrHgGe2: optimized geometry, PBE-GGA.

Cell and atoms, written as CIF:
```
data_ZrHgGe2
_space_group_name_H-M_alt 'P 1'
_space_group_IT_number 1
_cell_length_a 4.8987
_cell_length_b 4.8987
_cell_length_c 4.8987
_cell_angle_alpha 60.00
_cell_angle_beta 60.00
_cell_angle_gamma 60.00
loop_
_space_group_symop_operation_xyz
'x,y,z'
loop_
_atom_site_label
_atom_site_fract_x
_atom_site_fract_y
_atom_site_fract_z
Zr1 0.0000 0.0000 0.0000
Hg1 0.7500 0.7500 0.7500
Ge1 0.2500 0.2500 0.2500
Ge2 0.5000 0.5000 0.5000
```

As for the volume: 20.78 Å³/atom. The calculation puts the total energy at -4.357 eV per atom.

Ho11Ge10: optimized geometry, PBE-GGA.

Cell and atoms, written as CIF:
```
data_Ho11Ge10
_space_group_name_H-M_alt 'P 1'
_space_group_IT_number 1
_cell_length_a 11.2236
_cell_length_b 11.2236
_cell_length_c 11.2236
_cell_angle_alpha 122.06
_cell_angle_beta 122.06
_cell_angle_gamma 86.46
loop_
_space_group_symop_operation_xyz
'x,y,z'
loop_
_atom_site_label
_atom_site_fract_x
_atom_site_fract_y
_atom_site_fract_z
Ho1 0.0579 0.3100 0.7479
Ho2 0.1023 0.4265 0.3241
Ho3 0.1023 0.7782 0.6759
Ho4 0.1606 0.1606 0.0000
Ho5 0.2218 0.8977 0.3241
Ho6 0.3100 0.0579 0.7479
Ho7 0.3100 0.5621 0.2521
Ho8 0.3227 0.3227 0.6455
Ho9 0.3227 0.6773 0.0000
Ho10 0.4265 0.1023 0.3241
Ho11 0.4379 0.6900 0.7479
Ho12 0.5621 0.3100 0.2521
Ho13 0.5735 0.8977 0.6759
Ho14 0.6773 0.3227 0.0000
Ho15 0.6773 0.6773 0.3545
Ho16 0.6900 0.4379 0.7479
Ho17 0.6900 0.9421 0.2521
Ho18 0.7782 0.1023 0.6759
Ho19 0.8394 0.8394 0.0000
Ho20 0.8977 0.2218 0.3241
Ho21 0.8977 0.5735 0.6759
Ho22 0.9421 0.6900 0.2521
Ge1 0.0279 0.0279 0.4184
Ge2 0.0279 0.6095 0.0000
Ge3 0.1205 0.1205 0.2410
Ge4 0.1205 0.8795 0.0000
Ge5 0.1394 0.5000 0.6394
Ge6 0.2500 0.7500 0.5000
Ge7 0.3880 0.3880 0.0000
Ge8 0.3905 0.3905 0.4184
Ge9 0.3905 0.9721 0.0000
Ge10 0.5000 0.1394 0.6394
Ge11 0.5000 0.8606 0.3606
Ge12 0.6095 0.0279 0.0000
Ge13 0.6095 0.6095 0.5816
Ge14 0.6120 0.6120 0.0000
Ge15 0.7500 0.2500 0.5000
Ge16 0.8606 0.5000 0.3606
Ge17 0.8795 0.1205 0.0000
Ge18 0.8795 0.8795 0.7590
Ge19 0.9721 0.3905 0.0000
Ge20 0.9721 0.9721 0.5816
```

As for the volume: 23.01 Å³/atom. The calculation puts the total energy at -5.442 eV per atom.

HoGe: optimized geometry, PBE-GGA.

Cell and atoms, written as CIF:
```
data_HoGe
_space_group_name_H-M_alt 'P 1'
_space_group_IT_number 1
_cell_length_a 4.6132
_cell_length_b 4.6132
_cell_length_c 4.6132
_cell_angle_alpha 60.00
_cell_angle_beta 60.00
_cell_angle_gamma 60.00
loop_
_space_group_symop_operation_xyz
'x,y,z'
loop_
_atom_site_label
_atom_site_fract_x
_atom_site_fract_y
_atom_site_fract_z
Ho1 0.0000 0.0000 0.0000
Ge1 0.2500 0.2500 0.2500
```

As for the volume: 34.71 Å³/atom. The calculation puts the total energy at -4.468 eV per atom.